1.
Compound: MnRePb2Cl
Source: Alexandria
Functional: PBE
Structure: optimized geometry

Cell: 5.503 5.503 4.197 Å, 90.00 90.00 90.00°
Space group P4/mmm (No. 123)
Symmetry-distinct sites (fractional):
Mn1 0.000 0.000 0.000 x1
Re1 0.500 0.500 0.000 x1
Pb1 0.000 0.500 0.500 x2
Cl1 0.000 0.000 0.500 x1

Properties
The calculation puts the total energy at -24.11 eV per formula unit. As for the total magnetic moment: 6.04 μB/f.u.

2.
Compound: Li2AgTe
Source: Alexandria
Functional: PBE
Structure: optimized geometry

Cell: 3.208 4.820 5.040 Å, 90.00 90.00 90.00°
Space group Pmm2 (No. 25)
Symmetry-distinct sites (fractional):
Li1 0.000 0.000 0.000 x1
Li2 0.000 0.500 0.396 x1
Ag1 0.500 0.000 0.479 x1
Te1 0.500 0.500 0.893 x1

Properties
The calculation puts the total energy at -11.43 eV per formula unit. As for the total magnetic moment: 0.00 μB/f.u.

3.
Compound: CeTiTc
Source: Alexandria
Functional: PBE
Structure: optimized geometry

Cell: 10.203 4.396 6.802 Å, 90.00 126.75 90.00°
Space group C2/m (No. 12)
Symmetry-distinct sites (fractional):
Ce1 0.069 0.000 0.315 x4
Ti1 0.179 0.500 0.065 x4
Tc1 0.178 0.500 0.691 x4

Properties
The calculation puts the total energy at -24.50 eV per formula unit. As for the total magnetic moment: 0.00 μB/f.u. The formation enthalpy at 0 K is -0.31 eV per formula unit.

4.
Compound: Ba2YW
Source: Alexandria
Functional: PBE
Structure: optimized geometry

Cell: 3.335 5.581 6.839 Å, 90.00 90.00 90.00°
Space group Pmmm (No. 47)
Symmetry-distinct sites (fractional):
Ba1 0.000 0.000 0.234 x2
Y1 0.500 0.500 0.500 x1
W1 0.500 0.500 0.000 x1

Properties
The calculation puts the total energy at -18.45 eV per formula unit. As for the total magnetic moment: 0.02 μB/f.u. The formation enthalpy at 0 K is 4.81 eV per formula unit. The value obtained for the excess energy over the best structure of this formula in the dataset is 457 meV/atom.

5.
Compound: SrCaPd
Source: Alexandria
Functional: PBE
Structure: optimized geometry

Cell: 7.300 7.300 7.300 Å, 90.00 90.00 90.00°
Space group F-43m (No. 216)
Symmetry-distinct sites (fractional):
Sr1 0.000 0.000 0.000 x4
Ca1 0.000 0.000 0.500 x4
Pd1 0.250 0.250 0.750 x4

Properties
The calculation puts the total energy at -10.23 eV per formula unit. As for the total magnetic moment: 0.00 μB/f.u. The formation enthalpy at 0 K is -1.35 eV per formula unit. The value obtained for the excess energy over the best structure of this formula in the dataset is 48 meV/atom.

6.
Compound: Rb2TlPt
Source: Alexandria
Functional: PBE
Structure: optimized geometry

Cell: 8.298 4.791 9.688 Å, 90.00 106.51 90.00°
Space group Cm (No. 8)
Symmetry-distinct sites (fractional):
Rb1 0.000 0.000 0.000 x2
Rb2 0.173 0.000 0.521 x2
Tl1 0.253 0.500 0.261 x2
Pt1 0.420 0.000 0.260 x2

Properties
The calculation puts the total energy at -10.81 eV per formula unit. As for the total magnetic moment: 0.00 μB/f.u. The formation enthalpy at 0 K is -0.47 eV per formula unit. The value obtained for the excess energy over the best structure of this formula in the dataset is 0 meV/atom.

> What is the total energy in the fifth record?

-10.23 eV per formula unit

> Look up the total magnetic moment of the first one.

6.04 μB/f.u.

> What is the formula in the fourth record?

Ba2YW